{
  "formula": "BaPtCl2",
  "functional": "meta-GGA SCAN",
  "state": "PBEsol geometry",
  "lattice_angstrom": [[-3.340, 0.786, -1.979], [-2.406, 0.113, 4.106], [0.872, 4.665, 0.382]],
  "species": ["Ba", "Pt", "Cl", "Cl"],
  "fractional_positions": [[0.500, 0.000, 0.000], [0.500, 0.500, 0.500], [0.000, 0.000, 0.500], [0.000, 0.500, 0.000]],
  "formation_energy_uncorrected_ev_per_atom": -0.961,
  "polymorph_energy_kcal_per_mol_atoms": 12.52
}



{
  "formula": "BaPtCl2",
  "functional": "meta-GGA SCAN",
  "state": "PBEsol geometry",
  "lattice_angstrom": [[-4.060, -2.589, 0.386], [0.613, -4.262, -2.190], [0.612, -3.435, 3.341]],
  "species": ["Ba", "Pt", "Cl", "Cl"],
  "fractional_positions": [[0.500, 0.500, 0.500], [0.000, 0.000, 0.000], [0.209, 0.209, 0.209], [0.791, 0.791, 0.791]],
  "formation_energy_uncorrected_ev_per_atom": -1.504,
  "polymorph_energy_kcal_per_mol_atoms": 0.00
}



{
  "formula": "BaPt2Cl",
  "functional": "meta-GGA SCAN",
  "state": "PBEsol geometry",
  "lattice_angstrom": [[-0.670, -3.051, -2.905], [-2.180, -2.266, 2.882], [-4.616, 2.481, -1.541]],
  "species": ["Ba", "Pt", "Pt", "Cl"],
  "fractional_positions": [[0.500, 0.500, 0.000], [0.000, 0.000, 0.760], [0.000, 0.000, 0.240], [0.500, 0.500, 0.500]],
  "formation_energy_uncorrected_ev_per_atom": -0.120
}



{
  "formula": "Rb2BaCl4",
  "functional": "meta-GGA SCAN",
  "state": "PBEsol geometry",
  "lattice_angstrom": [[-2.507, 7.298, -2.777], [-3.472, -1.542, 7.268], [8.151, 0.028, 0.903]],
  "species": ["Rb", "Rb", "Rb", "Rb", "Ba", "Ba", "Cl", "Cl", "Cl", "Cl", "Cl", "Cl", "Cl", "Cl"],
  "fractional_positions": [[0.363, 0.875, 0.738], [0.637, 0.375, 0.512], [0.137, 0.262, 0.625], [0.863, 0.488, 0.125], [0.500, 0.750, 0.250], [0.000, 0.000, 0.000], [0.749, 0.108, 0.717], [0.251, 0.969, 0.360], [0.891, 0.781, 0.533], [0.109, 0.642, 0.890], [0.249, 0.467, 0.358], [0.751, 0.110, 0.219], [0.391, 0.283, 0.031], [0.609, 0.640, 0.892]],
  "formation_energy_uncorrected_ev_per_atom": -2.455
}



{
  "formula": "BaReCl",
  "functional": "meta-GGA SCAN",
  "state": "PBEsol geometry",
  "lattice_angstrom": [[-4.621, -2.396, 1.152], [-1.828, -3.910, -3.129], [-0.027, -5.031, 1.762]],
  "species": ["Re", "Ba", "Cl"],
  "fractional_positions": [[0.500, 0.500, 0.500], [0.250, 0.250, 0.250], [0.000, 0.000, 0.000]],
  "formation_energy_uncorrected_ev_per_atom": 1.025,
  "polymorph_energy_kcal_per_mol_atoms": 2.48
}



{
  "formula": "BaReCl",
  "functional": "meta-GGA SCAN",
  "state": "PBEsol geometry",
  "lattice_angstrom": [[5.064, 0.000, 0.000], [2.532, 4.385, 0.000], [2.532, 1.462, 4.135]],
  "species": ["Re", "Ba", "Cl"],
  "fractional_positions": [[0.000, 0.000, 0.000], [0.500, 0.500, 0.500], [0.250, 0.250, 0.250]],
  "formation_energy_uncorrected_ev_per_atom": 0.917,
  "polymorph_energy_kcal_per_mol_atoms": 0.00
}



{
  "formula": "Ba2ReCl",
  "functional": "meta-GGA SCAN",
  "state": "PBEsol geometry",
  "lattice_angstrom": [[-0.079, -3.266, 1.030], [2.239, 1.506, 4.950], [-5.172, 0.787, 2.101]],
  "species": ["Re", "Ba", "Ba", "Cl"],
  "fractional_positions": [[0.500, 0.500, 0.500], [0.000, 0.000, 0.500], [0.000, 0.500, 0.000], [0.500, 0.000, 0.000]],
  "formation_energy_uncorrected_ev_per_atom": -0.056,
  "polymorph_energy_kcal_per_mol_atoms": 0.00
}



{
  "formula": "Ba2ReCl",
  "functional": "meta-GGA SCAN",
  "state": "PBEsol geometry",
  "lattice_angstrom": [[-2.930, -2.567, 2.129], [3.323, -2.486, 1.575], [0.183, 6.085, 2.963]],
  "species": ["Re", "Ba", "Ba", "Cl"],
  "fractional_positions": [[0.250, 0.750, 0.500], [0.000, 0.000, 0.000], [0.750, 0.250, 0.500], [0.500, 0.500, 0.000]],
  "formation_energy_uncorrected_ev_per_atom": 0.280,
  "polymorph_energy_kcal_per_mol_atoms": 7.75
}